Material: Sm2VZnO6
Method: DFT, PBE with a Hubbard U
State: relaxed

Lattice parameters (Å, degrees): 5.4305 5.7619 9.3755 90.00 124.71 90.00
Last column: nearest neighbours and their distance in Å.
Space group P2_1/c (No. 14)
Inequivalent atoms, fractional coordinates:
Sm 0.2262 0.0675 0.2483  6 O 2.34-2.55
V 0.5000 0.0000 0.0000  6 O 1.91-2.02
Zn 0.0000 0.0000 0.5000  6 O 2.12-2.13
O 0.1516 0.1902 0.9481  1 V 1.99, 1 Zn 2.13
O 0.2534 0.7078 0.9410  1 V 2.02, 1 Zn 2.12
O 0.3699 0.0335 0.7646  1 V 1.91, 1 Zn 2.13

Summary:
Crystal system: monoclinic
E in eV/atom: -7.4325